A plane-wave DFT calculation with PBE was carried out for an optimized crystal structure of Ca2ErTeO6.

a = 5.8354 Å, b = 5.8354 Å, c = 4.5250 Å
α = 90.00°, β = 90.00°, γ = 90.00°
With the nearest neighbours (Å) after each atom.
Space group P4mm (No. 99)
Symmetry-distinct sites (fractional):
Ca 0.0000 0.5000 0.0000 (multiplicity 2)  4 O 2.44
Er 0.0000 0.0000 0.6044 (multiplicity 1)  5 O 2.11-2.21
Te 0.5000 0.5000 0.6226 (multiplicity 1)  5 O 1.95-2.02
O 0.0000 0.0000 0.1391 (multiplicity 1)  1 Er 2.11
O 0.2605 0.2605 0.7143 (multiplicity 4)  1 Te 2.02, 1 Er 2.21
O 0.5000 0.5000 0.1922 (multiplicity 1)  1 Te 1.95

Results
The spin magnetization is 0.0 μB per cell. The formation energy (no corrections) comes out at -2.3267 eV per atom.

A plane-wave DFT calculation with PBE was carried out for an optimized crystal structure of CaEr2TlO6.

a = 5.7968 Å, b = 5.7968 Å, c = 15.3404 Å
α = 90.00°, β = 90.00°, γ = 120.00°
With the nearest neighbours (Å) after each atom.
Space group R3 (No. 146, hexagonal axes)
Symmetry-distinct sites (fractional):
Ca 0.0000 0.0000 0.0000 (multiplicity 3)  6 O 2.32-2.46
Er 0.0000 0.0000 0.2159 (multiplicity 3)  6 O 2.21-2.32
Er 0.0000 0.0000 0.7173 (multiplicity 3)  6 O 2.24-2.30
Tl 0.0000 0.0000 0.5046 (multiplicity 3)  6 O 2.25-2.39
O 0.0391 0.3657 0.7811 (multiplicity 9)  2 Er 2.24-2.32, 1 Tl 2.25, 1 Ca 2.46
O 0.0567 0.6917 0.2815 (multiplicity 9)  2 Er 2.21-2.30, 1 Ca 2.32, 1 Tl 2.39

Results
The spin magnetization is 3.3 μB per cell. The formation energy (no corrections) comes out at -2.4530 eV per atom.

A plane-wave DFT calculation with PBE was carried out for an optimized crystal structure of Ca2ErTlO5.

a = 3.4096 Å, b = 14.0784 Å, c = 11.5197 Å
α = 90.00°, β = 90.00°, γ = 90.00°
With the nearest neighbours (Å) after each atom.
Space group Cmc2_1 (No. 36)
Symmetry-distinct sites (fractional):
Ca 0.0000 0.1293 0.0000 (multiplicity 4)  6 O 2.41-2.43
Ca 0.0000 0.1357 0.4860 (multiplicity 4)  3 O 2.31-2.34
Er 0.0000 0.2376 0.7630 (multiplicity 4)  6 O 2.20-2.33
Tl 0.0000 0.4989 0.7359 (multiplicity 4)  4 O 2.14-2.17
O 0.0000 0.0797 0.7981 (multiplicity 4)  2 Tl 2.17, 1 Er 2.26, 1 Ca 2.43
O 0.0000 0.2644 0.1316 (multiplicity 4)  2 Er 2.28, 1 Ca 2.43
O 0.0000 0.2830 0.3987 (multiplicity 4)  3 Ca 2.31-2.41, 2 Er 2.33
O 0.0000 0.3773 0.8483 (multiplicity 4)  1 Tl 2.15, 1 Er 2.20, 2 Ca 2.34
O 0.0000 0.4865 0.5510 (multiplicity 4)  1 Tl 2.14

Results
The spin magnetization is 0.0 μB per cell. The formation energy (no corrections) comes out at -2.4306 eV per atom.